[1]
TbNbClO4 (PBE-GGA, relaxed); D(E_F) = 0.00 states/eV per atom; E_form (uncorrected) = -2.512 eV/atom; magnetic moment = 0.00 μB/f.u.
1.0
6.809 0.651 -0.271
2.870 6.209 -0.271
1.679 1.190 6.769
O Nb Tb Cl
8 2 2 2
Cartesian
5.444 3.858 1.251 O
7.622 5.402 2.728 O
5.913 4.191 4.976 O
7.364 6.922 5.439 O
3.993 1.128 0.788 O
8.970 4.655 5.439 O
2.387 3.394 0.788 O
3.735 2.647 3.499 O
3.958 2.806 1.674 Nb
7.399 5.244 4.553 Nb
7.146 5.065 0.578 Tb
4.211 2.985 5.649 Tb
0.422 0.299 0.851 Cl
10.934 7.750 5.376 Cl



[2]
Pa2HgBr8 (PBE-GGA, relaxed); D(E_F) = 1.27 states/eV per atom; E_form (uncorrected) = -1.151 eV/atom; magnetic moment = 2.00 μB/f.u.
1.0
-1.874 3.483 4.156
-4.386 6.686 -7.584
-5.988 -8.242 4.204
Pa Br Hg
2 8 1
Cartesian
-5.980 -2.290 1.439 Pa
-6.269 4.217 -0.663 Pa
-6.231 -4.384 3.093 Br
-4.207 3.473 0.879 Br
-6.018 6.311 -2.317 Br
-6.917 -0.547 3.519 Br
-5.331 2.475 -2.743 Br
-8.041 -1.546 -0.103 Br
-3.675 -0.924 1.348 Br
-8.573 2.851 -0.572 Br
-5.988 -8.242 4.204 Hg



[3]
Ba2Sr5Sb3O2 (PBE-GGA, relaxed); D(E_F) = 0.33 states/eV per atom; E_form (uncorrected) = -1.597 eV/atom; magnetic moment = 0.64 μB/f.u.
1.0
5.091 0.000 0.000
0.000 5.091 0.000
-2.545 -2.545 14.460
Sr Sb Ba O
5 3 2 2
Cartesian
0.000 2.545 2.712 Sr
0.000 2.545 11.748 Sr
2.545 0.000 11.748 Sr
2.545 0.000 2.712 Sr
2.545 2.545 0.000 Sr
0.000 0.000 4.997 Sb
0.000 0.000 0.000 Sb
2.545 2.545 9.463 Sb
0.000 0.000 8.579 Ba
2.545 2.545 5.881 Ba
0.000 0.000 11.972 O
2.545 2.545 2.488 O



[4]
PaGaAu (PBE-GGA, relaxed); D(E_F) = 0.99 states/eV per atom; calculated formation energy = 50.8 kJ/mol of formula units; magnetic moment = 0.00 μB/f.u.
1.0
5.762 0.000 0.000
2.881 7.711 0.000
2.881 0.000 7.711
Ga Au Pa
4 4 4
Cartesian
5.762 2.239 2.239 Ga
2.881 2.239 5.472 Ga
2.881 5.472 2.239 Ga
5.762 5.472 5.472 Ga
2.881 4.280 0.000 Au
2.881 0.000 4.280 Au
5.762 3.431 0.000 Au
5.762 0.000 3.431 Au
2.881 2.604 2.604 Pa
5.762 5.107 2.604 Pa
8.644 5.107 5.107 Pa
5.762 2.604 5.107 Pa



[5]
RbCaSb4 (PBE-GGA, relaxed); D(E_F) = 1.44 states/eV per atom; distance to the lowest polymorph of the same formula = 183 meV per atom; E_form (uncorrected) = -0.215 eV/atom; magnetic moment = 0.00 μB/f.u.
1.0
-1.346 0.727 6.331
-1.093 -5.235 3.719
4.376 -1.780 4.485
Sb Ca Rb
4 1 1
Cartesian
-0.988 -3.039 6.840 Sb
1.761 -1.302 7.225 Sb
1.888 -4.299 5.912 Sb
1.212 -3.934 9.094 Sb
0.000 0.000 0.000 Ca
0.484 -1.572 3.634 Rb



[6]
Sr3MgGa2O6 (PBE-GGA, relaxed); D(E_F) = 0.26 states/eV per atom; E_form (uncorrected) = -2.198 eV/atom; magnetic moment = 1.15 μB/f.u.
1.0
-1.033 2.633 5.032
-1.871 -5.390 -0.874
5.600 -2.328 2.368
O Sr Mg Ga
6 3 1 2
Cartesian
3.233 -1.638 3.180 O
-0.537 -3.447 3.346 O
-0.021 -4.761 0.835 O
0.912 -2.071 1.271 O
1.783 -3.014 5.254 O
2.717 -0.324 5.691 O
0.000 0.000 0.000 Sr
0.734 -0.892 3.928 Sr
1.962 -4.193 2.597 Sr
2.800 -1.164 1.184 Mg
3.300 -1.959 5.014 Ga
-0.605 -3.126 1.512 Ga



[7]
Y3ZnRh3 (PBE-GGA, relaxed); D(E_F) = 0.62 states/eV per atom; calculated formation energy = -525.6 kJ/mol of formula units; magnetic moment = 0.00 μB/f.u.
1.0
4.105 0.000 0.000
-2.052 5.121 0.000
0.000 0.000 13.762
Y Zn Rh
6 2 6
Cartesian
0.000 2.013 8.304 Y
2.052 0.257 3.441 Y
2.052 3.107 1.422 Y
0.000 4.864 10.322 Y
0.000 2.013 12.340 Y
2.052 3.107 5.459 Y
2.052 0.000 0.000 Zn
2.052 0.000 6.881 Zn
0.000 2.547 3.441 Rh
0.000 0.936 1.246 Rh
2.052 4.184 8.127 Rh
2.052 4.184 12.517 Rh
2.052 2.573 10.322 Rh
0.000 0.936 5.636 Rh



[8]
Zr2CuSiGe (PBE-GGA, relaxed); D(E_F) = 0.86 states/eV per atom; E_form (uncorrected) = 0.230 eV/atom; magnetic moment = 0.00 μB/f.u.
1.0
-4.191 -1.027 -2.457
0.566 -4.047 0.727
-2.575 0.399 4.226
Ge Si Cu Zr
1 1 1 2
Cartesian
-3.100 -2.338 1.248 Ge
0.283 -2.024 0.363 Si
0.000 0.000 0.000 Cu
-2.095 -0.514 -1.228 Zr
-1.288 0.199 2.113 Zr



[9]
NaTmHg (PBE-GGA, relaxed); D(E_F) = 1.17 states/eV per atom; calculated formation energy = -8.5 kJ/mol of formula units; distance to the lowest polymorph of the same formula = 74 meV per atom; magnetic moment = 0.00 μB/f.u.
1.0
-1.826 -4.286 -1.687
3.058 -3.462 -1.791
1.168 -6.056 6.849
Hg Tm Na
2 2 2
Cartesian
1.780 -10.263 2.321 Hg
0.620 -3.541 1.051 Hg
1.518 -9.059 -0.454 Tm
0.882 -4.745 3.826 Tm
0.899 -5.521 -1.499 Na
1.501 -8.284 4.870 Na



[10]
SrAsS3 (PBE-GGA, relaxed); D(E_F) = 0.30 states/eV per atom; E_form (uncorrected) = -0.828 eV/atom; magnetic moment = 0.00 μB/f.u.
1.0
-3.655 4.587 -3.742
-2.584 -6.182 -5.055
-7.203 -1.370 5.357
S As Sr
12 4 4
Cartesian
-2.614 0.919 -0.150 S
-6.664 2.182 -2.173 S
-7.020 -2.084 -3.742 S
-10.155 -3.756 -3.790 S
-6.086 -5.106 -1.734 S
-8.651 -1.305 1.960 S
-9.007 -5.571 0.391 S
-5.820 -0.728 -0.256 S
-4.076 -1.562 -5.820 S
-3.809 2.815 -4.343 S
-3.569 -2.595 -2.333 S
-9.200 -0.242 -1.607 S
-1.995 -0.932 -1.502 As
-9.173 -1.601 -3.628 As
-7.358 0.834 -0.565 As
-3.810 -3.367 -4.565 As
-5.784 -0.957 2.855 Sr
-4.830 0.058 -3.299 Sr
-7.033 -1.889 -6.759 Sr
-7.987 -2.905 -0.605 Sr



[11]
YMgAl6 (PBE-GGA, relaxed); D(E_F) = 0.51 states/eV per atom; calculated formation energy = -88.7 kJ/mol of formula units; magnetic moment = 0.00 μB/f.u.
1.0
4.520 0.000 0.000
0.000 6.024 -3.219
0.000 -0.663 6.005
Al Y Mg
6 1 1
Cartesian
0.000 2.181 -0.201 Al
2.260 3.152 2.860 Al
0.000 4.645 -1.517 Al
2.260 0.625 4.210 Al
0.000 4.819 1.773 Al
0.000 1.530 2.864 Al
2.260 0.597 1.117 Y
2.260 3.893 0.039 Mg



[12]
Cs3RbZn2Cl8 (PBE-GGA, relaxed); D(E_F) = 0.00 states/eV per atom; E_form (uncorrected) = -1.661 eV/atom; magnetic moment = 0.00 μB/f.u.
1.0
7.838 0.000 0.000
-3.919 6.788 0.000
0.000 0.000 9.902
Zn Cl Cs Rb
2 8 3 1
Cartesian
0.000 4.525 2.015 Zn
3.919 2.263 7.888 Zn
1.828 5.581 2.946 Cl
2.091 1.207 6.956 Cl
0.000 2.414 2.946 Cl
3.919 2.263 0.215 Cl
3.919 4.374 6.956 Cl
-1.828 5.581 2.946 Cl
0.000 4.525 9.688 Cl
5.747 1.207 6.956 Cl
0.000 0.000 0.000 Cs
0.000 4.525 6.357 Cs
3.919 2.263 3.546 Cs
0.000 0.000 4.951 Rb



[13]
Tb5Dy2YSc (PBE-GGA, relaxed); D(E_F) = 1.67 states/eV per atom; calculated formation energy = 145.8 kJ/mol of formula units; magnetic moment = 0.00 μB/f.u.
1.0
5.540 0.000 0.000
-2.770 10.013 0.000
0.000 0.000 10.317
Dy Tb Y Sc
4 10 2 2
Cartesian
2.770 7.777 8.363 Dy
0.000 2.300 7.598 Dy
2.770 7.713 2.440 Dy
0.000 2.236 3.205 Dy
0.000 5.492 3.310 Tb
0.000 5.998 7.285 Tb
2.770 4.522 8.468 Tb
2.770 9.685 5.316 Tb
0.000 9.663 7.649 Tb
2.770 0.350 2.490 Tb
0.000 0.329 0.157 Tb
2.770 4.015 2.126 Tb
2.770 2.491 5.376 Tb
0.000 7.522 0.217 Tb
0.000 8.154 4.714 Y
2.770 1.860 9.872 Y
0.000 3.908 0.159 Sc
2.770 6.105 5.318 Sc



[14]
Ce3YBi4 (PBE-GGA, relaxed); D(E_F) = 2.67 states/eV per atom; calculated formation energy = -628.5 kJ/mol of formula units; distance to the lowest polymorph of the same formula = 0 meV per atom; magnetic moment = 2.67 μB/f.u.
1.0
-1.094 3.721 -2.437
2.221 -3.694 -6.636
-7.675 -1.373 1.349
Ce Y Bi
3 1 4
Cartesian
-3.838 -0.687 0.675 Ce
-3.274 -0.673 -3.862 Ce
1.110 -1.847 -3.318 Ce
-0.547 1.860 -1.219 Y
-4.114 -3.822 -3.988 Bi
-0.778 -1.259 -5.876 Bi
-5.770 -0.088 -1.848 Bi
-1.340 -1.245 -1.299 Bi